DyEr6Te2Ir2: optimized geometry, PBE.

Properties
The density is 10.41 Mg/m³. The value obtained for the total energy is -6.022 eV/atom. Its space-group type is Imm2.

Cell and atoms, written as POSCAR:
```
DyEr6Te2Ir2
1.0
-1.9559 7.8123 4.7109
1.9559 -7.8123 4.7109
1.9559 7.8123 -4.7109
Dy Er Te Ir
1 6 2 2
Direct
0.0000 0.0000 0.0000
0.0567 0.3721 0.6846
0.0849 0.7313 0.3536
0.3777 0.7313 0.6464
0.4506 0.5824 0.8682
0.6874 0.3721 0.3154
0.7142 0.5824 0.1318
0.3370 0.3370 0.0000
0.7357 0.2357 0.5000
0.3096 0.0718 0.2377
0.8341 0.0718 0.7623
```